Record 1
VASP calculation (PBE with a Hubbard U) on ScCr2SiO6 after structural relaxation.

a b c (Å): 5.026 5.098 5.596
angles (deg): 60.67 62.81 60.10
Positions (direct):
Sc 0.799 0.822 0.575
Cr 0.530 0.528 0.420
Cr 0.012 0.010 0.966
Si 0.320 0.326 0.033
O 0.584 0.190 0.229
O 0.213 0.973 0.228
O 0.975 0.575 0.226
O 0.409 0.694 0.798
O 0.697 0.127 0.768
O 0.123 0.418 0.772

Calculated values
uncorrected energy	-80.791	eV per cell
V	103.99	Å³ per cell
space group	P1 (1)

Record 2
VASP calculation (PBE with a Hubbard U) on ScCr2SnO6 after structural relaxation.

a b c (Å): 5.374 5.331 5.612
angles (deg): 63.07 63.45 58.66
Positions (direct):
Sc 0.803 0.802 0.577
Cr 0.524 0.524 0.433
Cr 0.014 0.013 0.963
Sn 0.318 0.313 0.048
O 0.621 0.211 0.243
O 0.218 0.927 0.240
O 0.944 0.628 0.237
O 0.404 0.727 0.750
O 0.725 0.118 0.750
O 0.091 0.399 0.775

Calculated values
uncorrected energy	-76.660	eV per cell
V	117.62	Å³ per cell
space group	P1 (1)

Record 3
VASP calculation (PBE with a Hubbard U) on SrScCr2O8 after structural relaxation.

a b c (Å): 5.990 5.990 5.990
angles (deg): 106.03 106.03 116.60
Positions (direct):
Sr 0.250 0.750 0.500
Sc 0.000 0.000 0.000
Cr 0.750 0.250 0.500
Cr 0.500 0.500 0.000
O 0.393 0.092 0.301
O 0.329 0.503 0.174
O 0.329 0.154 0.826
O 0.792 0.092 0.699
O 0.846 0.671 0.174
O 0.908 0.208 0.301
O 0.908 0.607 0.699
O 0.497 0.671 0.826

Calculated values
uncorrected energy	-86.682	eV per cell
V	163.47	Å³ per cell
space group	I-4m2 (119)

Record 4
VASP calculation (PBE with a Hubbard U) on Sr3ScCr3O8 after structural relaxation.

a b c (Å): 6.256 6.829 6.675
angles (deg): 118.64 90.00 117.26
Positions (direct):
Sr 0.000 0.000 0.000
Sr 0.000 0.500 0.000
Sr 0.500 0.500 0.000
Sc 0.000 0.000 0.500
Cr 0.500 0.000 0.500
Cr 0.500 0.500 0.500
Cr 0.000 0.500 0.500
O 0.277 0.553 0.315
O 0.723 0.447 0.685
O 0.785 0.569 0.326
O 0.215 0.431 0.674
O 0.735 0.973 0.278
O 0.265 0.027 0.722
O 0.239 0.973 0.278
O 0.761 0.027 0.722

Calculated values
uncorrected energy	-108.242	eV per cell
V	213.47	Å³ per cell
space group	C2/m (12)

Record 5
VASP calculation (PBE with a Hubbard U) on ScTaCrO6 after structural relaxation.

a b c (Å): 4.707 4.707 9.276
angles (deg): 90.00 90.00 90.00
Positions (direct):
Sc 0.500 0.500 0.829
Sc 0.000 0.000 0.329
Ta 0.500 0.500 0.167
Ta 0.000 0.000 0.667
Cr 0.500 0.500 0.500
Cr 0.000 0.000 0.000
O 0.208 0.792 0.510
O 0.792 0.208 0.510
O 0.292 0.292 0.010
O 0.708 0.708 0.010
O 0.200 0.800 0.156
O 0.800 0.200 0.156
O 0.300 0.300 0.656
O 0.700 0.700 0.656
O 0.813 0.187 0.836
O 0.187 0.813 0.836
O 0.687 0.687 0.336
O 0.313 0.313 0.336

Calculated values
uncorrected energy	-157.620	eV per cell
V	205.49	Å³ per cell
space group	P4_2nm (102)

Record 6
VASP calculation (PBE with a Hubbard U) on ScCrTe2O8 after structural relaxation.

a b c (Å): 6.251 6.251 5.430
angles (deg): 90.00 90.00 120.00
Positions (direct):
Sc 0.000 0.000 0.500
Cr 0.000 0.000 0.000
Te 0.667 0.333 0.195
Te 0.333 0.667 0.805
O 0.333 0.667 0.140
O 0.275 0.138 0.219
O 0.862 0.137 0.219
O 0.667 0.333 0.860
O 0.138 0.863 0.781
O 0.725 0.862 0.781
O 0.137 0.275 0.781
O 0.863 0.725 0.219

Calculated values
uncorrected energy	-75.928	eV per cell
V	183.71	Å³ per cell
space group	P-3m1 (164)

Record 7
VASP calculation (PBE with a Hubbard U) on Sc2CrTeO8 after structural relaxation.

a b c (Å): 4.747 4.747 6.230
angles (deg): 90.00 90.00 92.45
Positions (direct):
Sc 0.500 0.500 0.745
Sc 0.500 0.500 0.255
Cr 0.000 0.000 0.500
Te 0.000 0.000 0.000
O 0.185 0.816 0.244
O 0.707 0.707 0.000
O 0.815 0.184 0.244
O 0.815 0.184 0.756
O 0.293 0.293 0.000
O 0.185 0.816 0.756
O 0.714 0.713 0.500
O 0.286 0.287 0.500

Calculated values
uncorrected energy	-89.246	eV per cell
V	140.26	Å³ per cell
space group	Cmmm (65)

Record 8
VASP calculation (PBE with a Hubbard U) on ScTlCr2O8 after structural relaxation.

a b c (Å): 5.641 5.641 7.692
angles (deg): 90.00 90.00 120.00
Positions (direct):
Sc 0.000 0.000 0.000
Tl 0.000 0.000 0.500
Cr 0.333 0.667 0.764
Cr 0.667 0.333 0.236
O 0.171 0.341 0.834
O 0.171 0.829 0.834
O 0.659 0.829 0.834
O 0.341 0.171 0.166
O 0.667 0.333 0.447
O 0.333 0.667 0.553
O 0.829 0.659 0.166
O 0.829 0.171 0.166

Calculated values
uncorrected energy	-83.681	eV per cell
V	211.95	Å³ per cell
space group	P-3m1 (164)